[1]
Here is crystalline YMg2FeSe at its relaxed geometry from Alexandria via LeMat-Bulk. Energies are from PBE-GGA.

POSCAR file:
```
YMg2FeSe
1.0
6.1518 0.0000 0.0000
0.0000 6.1518 0.0000
0.0000 0.0000 5.2613
Y Mg Fe Se
1 2 1 1
Cartesian
0.0000 0.0000 0.0000
0.0000 3.0759 0.0000
3.0759 0.0000 0.0000
3.0759 3.0759 2.6307
0.0000 0.0000 2.6307
```

Output
Mass density: 2.3 g/cm³
Density of states at the Fermi level: 1.311 states/eV per atom
Formation energy from raw total energies: 0.9094 eV per atom
Space-group type: No. 123
Energy: -3.411 eV/atom
M_tot: 0.676 μB per atom



[2]
Here is crystalline Rb3NpAs2S8 at its relaxed geometry from Alexandria via LeMat-Bulk. Energies are from PBE-GGA.

POSCAR file:
```
Rb3NpAs2S8
1.0
7.2968 0.0000 0.0000
-3.6484 6.3192 0.0000
0.0000 0.0000 9.4216
Rb Np As S
3 1 2 8
Cartesian
0.0000 0.0000 0.0000
0.0000 4.2128 6.2462
3.6484 2.1064 3.1754
0.0000 0.0000 4.7108
0.0000 4.2128 2.2870
3.6484 2.1064 7.1346
0.0000 2.0359 3.0130
-1.8852 5.3012 3.0130
1.7632 1.0180 6.4086
0.0000 4.2128 0.1832
3.6484 2.1064 9.2384
1.8852 5.3012 3.0130
5.5336 1.0180 6.4086
3.6484 4.2833 6.4086
```

Output
Mass density: 3.4 g/cm³
Density of states at the Fermi level: 0.487 states/eV per atom
Formation energy from raw total energies: -0.6739 eV per atom
Space-group type: No. 164
Energy: -4.828 eV/atom
M_tot: 0.244 μB per atom



[3]
Here is crystalline HoNpIrOs at its relaxed geometry from Alexandria via LeMat-Bulk. Energies are from PBE-GGA.

POSCAR file:
```
HoNpIrOs
1.0
0.0000 3.3999 3.3999
3.3999 0.0000 3.3999
3.3999 3.3999 0.0000
Ho Np Ir Os
1 1 1 1
Cartesian
0.0000 0.0000 0.0000
3.3999 3.3999 3.3999
5.0999 5.0999 5.0999
1.7000 1.7000 1.7000
```

Output
Mass density: 16.6 g/cm³
Density of states at the Fermi level: 1.171 states/eV per atom
Space-group type: No. 216
Energy: -9.650 eV/atom
Energy of formation from the pure elements: -0.248 eV per atom
M_tot: 0.726 μB per atom



[4]
Here is crystalline CaAs2Se at its relaxed geometry from Alexandria via LeMat-Bulk. Energies are from PBE-GGA.

POSCAR file:
```
CaAs2Se
1.0
-2.0952 2.0952 4.9742
2.0952 -2.0952 4.9742
2.0952 2.0952 -4.9742
Ca As Se
1 2 1
Cartesian
0.0000 0.0000 0.0000
0.0000 0.0000 4.9742
0.0000 2.0952 2.4871
2.0952 0.0000 2.4871
```

Output
Mass density: 5.1 g/cm³
Density of states at the Fermi level: 0.855 states/eV per atom
Formation energy from raw total energies: -0.3249 eV per atom
Space-group type: No. 119
Energy: -4.021 eV/atom
M_tot: 0.000 μB per atom



Which value of density of states at the Fermi level does entry 1 give? 1.311 states/eV per atom



Please write out number 3 again, unchanged.
Here is crystalline HoNpIrOs at its relaxed geometry from Alexandria via LeMat-Bulk. Energies are from PBE-GGA.

POSCAR file:
```
HoNpIrOs
1.0
0.0000 3.3999 3.3999
3.3999 0.0000 3.3999
3.3999 3.3999 0.0000
Ho Np Ir Os
1 1 1 1
Cartesian
0.0000 0.0000 0.0000
3.3999 3.3999 3.3999
5.0999 5.0999 5.0999
1.7000 1.7000 1.7000
```

Output
Mass density: 16.6 g/cm³
Density of states at the Fermi level: 1.171 states/eV per atom
Space-group type: No. 216
Energy: -9.650 eV/atom
Energy of formation from the pure elements: -0.248 eV per atom
M_tot: 0.726 μB per atom



Number 1 is which compound? YMg2FeSe